# 1
VASP calculation (GGA-PBE) on crystalline NaSc2Ga2 at its relaxed geometry.

Computed properties:
As for the energy of formation from the pure elements: -30.4 kJ per mole of atoms. As for the density: 3943 kg/m3. For the final energy, the calculation gives -4.32 eV/atom. The energy above the most stable polymorph in this dataset is 0.000 eV/atom.

a b c (Å): 7.998 7.998 3.323
angles (deg): 90.00 90.00 90.00
Sites, in units of the cell vectors:
Na 0.000 0.000 0.000
Na 0.500 0.500 0.000
Sc 0.175 0.325 0.500
Sc 0.325 0.825 0.500
Sc 0.675 0.175 0.500
Sc 0.825 0.675 0.500
Ga 0.121 0.621 0.000
Ga 0.379 0.121 0.000
Ga 0.621 0.879 0.000
Ga 0.879 0.379 0.000

# 2
VASP calculation (GGA-PBE) on crystalline Na2ScGa at its relaxed geometry.

Computed properties:
As for the energy of formation from the pure elements: 26.6 kJ per mole of atoms. As for the density: 2910 kg/m3. For the final energy, the calculation gives -2.72 eV/atom. The energy above the most stable polymorph in this dataset is 0.000 eV/atom.

a b c (Å): 5.061 5.061 5.061
angles (deg): 60.00 60.00 60.00
Sites, in units of the cell vectors:
Na 0.250 0.250 0.250
Na 0.750 0.750 0.750
Sc 0.000 0.000 0.000
Ga 0.500 0.500 0.500

# 3
VASP calculation (GGA-PBE) on crystalline NaSc2Ga at its relaxed geometry.

Computed properties:
As for the energy of formation from the pure elements: -8.7 kJ per mole of atoms. As for the density: 3578 kg/m3. For the final energy, the calculation gives -4.34 eV/atom. The energy above the most stable polymorph in this dataset is 0.000 eV/atom.

a b c (Å): 4.931 4.931 4.931
angles (deg): 60.00 60.00 60.00
Sites, in units of the cell vectors:
Na 0.000 0.000 0.000
Sc 0.250 0.250 0.250
Sc 0.750 0.750 0.750
Ga 0.500 0.500 0.500